Record 1
The following is a DFT calculation (PBE) of crystalline Cd2AgP at its relaxed geometry.

Calculated values
**D(E_F)**: 0.237 states/eV/atom
**Magnetization**: 0.000 μB/cell
**Calculated formation energy**: 25 kJ per mole of atoms
**Calculated total energy**: -36.3 eV/cell

Unit cell a=6.830 b=6.830 c=6.830 alpha=90.00 beta=90.00 gamma=90.00
Fractional positions:
Cd (0.000, 0.000, 0.000)
Cd (0.000, 0.500, 0.500)
Cd (0.250, 0.250, 0.250)
Cd (0.250, 0.750, 0.750)
Cd (0.500, 0.000, 0.500)
Cd (0.500, 0.500, 0.000)
Cd (0.750, 0.250, 0.750)
Cd (0.750, 0.750, 0.250)
Ag (0.250, 0.250, 0.750)
Ag (0.250, 0.750, 0.250)
Ag (0.750, 0.250, 0.250)
Ag (0.750, 0.750, 0.750)
P (0.000, 0.000, 0.500)
P (0.000, 0.500, 0.000)
P (0.500, 0.000, 0.000)
P (0.500, 0.500, 0.500)

=====

Record 2
The following is a DFT calculation (PBE) of crystalline CoCu2Au at its relaxed geometry.

Calculated values
**D(E_F)**: 1.070 states/eV/atom
**Magnetization**: 3.240 μB/cell
**Calculated formation energy**: 18 kJ per mole of atoms
**Calculated total energy**: -35.7 eV/cell

Unit cell a=5.375 b=7.481 c=2.684 alpha=90.00 beta=90.00 gamma=90.00
Fractional positions:
Co (0.000, 0.000, 0.000)
Co (0.500, 0.500, 0.000)
Cu (0.250, 0.250, 0.500)
Cu (0.250, 0.750, 0.500)
Cu (0.750, 0.250, 0.500)
Cu (0.750, 0.750, 0.500)
Au (0.000, 0.500, 0.000)
Au (0.500, 0.000, 0.000)

=====

Record 3
The following is a DFT calculation (PBE) of crystalline SiSbOs2 at its relaxed geometry.

Calculated values
**D(E_F)**: 0.864 states/eV/atom
**Magnetization**: 0.000 μB/cell
**Energy relative to the elements, uncorrected**: 0.52 eV per atom
**Calculated total energy**: -59.9 eV/cell
**Energy above the lowest structure with this stoichiometry**: 350 meV per atom

Unit cell a=2.994 b=5.042 c=8.754 alpha=90.00 beta=90.00 gamma=90.00
Fractional positions:
Si (0.000, 0.000, 0.000)
Si (0.500, 0.500, 0.000)
Sb (0.000, 0.000, 0.500)
Sb (0.500, 0.500, 0.500)
Os (0.000, 0.500, 0.210)
Os (0.000, 0.500, 0.790)
Os (0.500, 0.000, 0.210)
Os (0.500, 0.000, 0.790)